[1]
VASP calculation (PBE) on an optimized crystal structure of HfScV4.

Summary:
Total moment ... 2.74 μB per formula unit
SG ... No. 216
E_form ... 147 meV per atom

abc: 5.209 5.209 5.209
angles: 60.00 60.00 60.00
Atoms (fractional coordinates):
1 Hf 0.000 0.000 0.000
2 Sc 0.750 0.750 0.750
3 V 0.374 0.374 0.374
4 V 0.374 0.374 0.877
5 V 0.374 0.877 0.374
6 V 0.877 0.374 0.374

=====

[2]
VASP calculation (PBE) on an optimized crystal structure of HfScV3.

Summary:
Polymorph energy (0 for the lowest one) ... 0 meV/atom
Total moment ... 0.75 μB per formula unit
SG ... No. 221
E_form ... 1300 meV per atom

abc: 4.674 4.674 4.674
angles: 90.00 90.00 90.00
Atoms (fractional coordinates):
1 Hf 0.000 0.000 0.000
2 Sc 0.500 0.500 0.500
3 V 0.000 0.000 0.500
4 V 0.000 0.500 0.000
5 V 0.500 0.000 0.000

=====

[3]
VASP calculation (PBE) on an optimized crystal structure of HfScV2.

Summary:
Polymorph energy (0 for the lowest one) ... 0 meV/atom
Total moment ... 5.73 μB per formula unit
SG ... No. 123
E_form ... 262 meV per atom

abc: 4.747 4.747 3.343
angles: 90.00 90.00 90.00
Atoms (fractional coordinates):
1 Hf 0.000 0.000 0.000
2 Sc 0.500 0.500 0.000
3 V 0.000 0.500 0.500
4 V 0.500 0.000 0.500

=====

[4]
VASP calculation (PBE) on an optimized crystal structure of HfScV2.

Summary:
Polymorph energy (0 for the lowest one) ... 6 meV/atom
Total moment ... 5.56 μB per formula unit
SG ... No. 225
E_form ... 269 meV per atom

abc: 4.735 4.735 4.735
angles: 60.00 60.00 60.00
Atoms (fractional coordinates):
1 Hf 0.000 0.000 0.000
2 Sc 0.500 0.500 0.500
3 V 0.250 0.250 0.250
4 V 0.750 0.750 0.750

=====

[5]
VASP calculation (PBE) on an optimized crystal structure of HfSc2V2.

Summary:
Total moment ... 0.52 μB per formula unit
SG ... No. 127
E_form ... 290 meV per atom

abc: 7.694 7.694 3.314
angles: 90.00 90.00 90.00
Atoms (fractional coordinates):
1 Hf 0.000 0.000 0.000
2 Hf 0.500 0.500 0.000
3 Sc 0.197 0.303 0.500
4 Sc 0.303 0.803 0.500
5 Sc 0.697 0.197 0.500
6 Sc 0.803 0.697 0.500
7 V 0.093 0.593 0.000
8 V 0.407 0.093 0.000
9 V 0.593 0.907 0.000
10 V 0.907 0.407 0.000

=====

[6]
VASP calculation (PBE) on an optimized crystal structure of Hf2Sc2W.

Summary:
Polymorph energy (0 for the lowest one) ... 0 meV/atom
Total moment ... 0.00 μB per formula unit
SG ... No. 127
E_form ... 594 meV per atom

abc: 6.805 6.805 4.666
angles: 90.00 90.00 90.00
Atoms (fractional coordinates):
1 Hf 0.166 0.334 0.000
2 Hf 0.334 0.834 0.000
3 Hf 0.666 0.166 0.000
4 Hf 0.834 0.666 0.000
5 Sc 0.144 0.644 0.500
6 Sc 0.356 0.144 0.500
7 Sc 0.644 0.856 0.500
8 Sc 0.856 0.356 0.500
9 W 0.000 0.000 0.500
10 W 0.500 0.500 0.500

=====

[7]
VASP calculation (PBE) on an optimized crystal structure of HfScW4.

Summary:
Total moment ... 0.00 μB per formula unit
SG ... No. 216
E_form ... -62 meV per atom

abc: 5.394 5.394 5.394
angles: 60.00 60.00 60.00
Atoms (fractional coordinates):
1 Hf 0.000 0.000 0.000
2 Sc 0.250 0.250 0.250
3 W 0.126 0.625 0.625
4 W 0.625 0.126 0.625
5 W 0.625 0.625 0.126
6 W 0.625 0.625 0.625

=====

[8]
VASP calculation (PBE) on an optimized crystal structure of Hf2Sc2W.

Summary:
Polymorph energy (0 for the lowest one) ... 256 meV/atom
Total moment ... 0.00 μB per formula unit
SG ... No. 139
E_form ... 850 meV per atom

abc: 7.743 7.743 7.743
angles: 150.76 150.76 41.83
Atoms (fractional coordinates):
1 Hf 0.250 0.750 0.500
2 Hf 0.750 0.250 0.500
3 Sc 0.089 0.089 0.000
4 Sc 0.911 0.911 0.000
5 W 0.500 0.500 0.000

=====

Result set for raw total energy: -8.65, -7.43, -8.37, -8.36, -7.88, -8.51, -11.41, -8.25 eV/atom, one per record in the order listed.